Entry 1:
First-principles (PBE) data for LaTl2CuBr6 after structural relaxation, as listed in Alexandria via LeMat-Bulk.

```
data_LaTl2CuBr6
_chemical_formula_sum 'La2 Tl4 Cu2 Br12'
_symmetry_space_group_name_H-M 'P 1 21/c 1'
_symmetry_Int_Tables_number 14
_symmetry_space_group_name_Hall '-P 2ybc'
_cell_length_a 7.990
_cell_length_b 9.000
_cell_length_c 12.751
_cell_angle_alpha 90.00
_cell_angle_beta 128.49
_cell_angle_gamma 90.00
loop_
_atom_site_label
_atom_site_fract_x
_atom_site_fract_y
_atom_site_fract_z
La1 0.000 0.000 0.000
Tl1 0.226 0.095 0.753
Cu1 0.500 0.000 0.500
Br1 0.115 0.220 0.444
Br2 0.261 0.662 0.449
Br3 0.397 0.035 0.288
```

Output
Its calculated volume is 35.89 Å³ per atom. The value obtained for the density of states at the Fermi level is 0.00 states/eV/f.u. Its magnetization is 0.17 μB per cell. As for the raw total energy: -3.534 eV/atom.

Entry 2:
First-principles (PBE) data for LiCu3Br after structural relaxation, as listed in Alexandria via LeMat-Bulk.

```
data_LiCu3Br
_chemical_formula_sum 'Li1 Cu3 Br1'
_symmetry_space_group_name_H-M 'P m -3 m'
_symmetry_Int_Tables_number 221
_symmetry_space_group_name_Hall '-P 4 2 3'
_cell_length_a 4.400
_cell_length_b 4.400
_cell_length_c 4.400
_cell_angle_alpha 90.00
_cell_angle_beta 90.00
_cell_angle_gamma 90.00
loop_
_atom_site_label
_atom_site_fract_x
_atom_site_fract_y
_atom_site_fract_z
Li1 0.000 0.000 0.000
Cu1 0.000 0.000 0.500
Br1 0.500 0.500 0.500
```

Output
Its calculated volume is 17.03 Å³ per atom. The value obtained for the density of states at the Fermi level is 3.34 states/eV/f.u. Its magnetization is 0.00 μB per cell. As for the raw total energy: -2.418 eV/atom.

Entry 3:
First-principles (PBE) data for LiCuBr2 after structural relaxation, as listed in Alexandria via LeMat-Bulk.

```
data_LiCuBr2
_chemical_formula_sum 'Li3 Cu3 Br6'
_symmetry_space_group_name_H-M 'R -3 m'
_symmetry_Int_Tables_number 166
_symmetry_space_group_name_Hall '-R 3 2"'
_cell_length_a 4.0999
_cell_length_b 4.0999
_cell_length_c 22.0437
_cell_angle_alpha 90.00
_cell_angle_beta 90.00
_cell_angle_gamma 120.00
loop_
_atom_site_label
_atom_site_fract_x
_atom_site_fract_y
_atom_site_fract_z
Li1 0.0000 0.0000 0.0000
Cu1 0.0000 0.0000 0.5000
Br1 0.0000 0.0000 0.3980
```

Output
Its calculated volume is 26.74 Å³ per atom. The value obtained for the density of states at the Fermi level is 0.00 states/eV/f.u. Its magnetization is 0.00 μB per cell. As for the raw total energy: -3.172 eV/atom.

Entry 4:
First-principles (PBE) data for LiCuBr2 after structural relaxation, as listed in Alexandria via LeMat-Bulk.

```
data_LiCuBr2
_chemical_formula_sum 'Li4 Cu4 Br8'
_symmetry_space_group_name_H-M 'F -4 3 m'
_symmetry_Int_Tables_number 216
_symmetry_space_group_name_Hall 'F -4 2 3'
_cell_length_a 7.091
_cell_length_b 7.091
_cell_length_c 7.091
_cell_angle_alpha 90.00
_cell_angle_beta 90.00
_cell_angle_gamma 90.00
loop_
_atom_site_label
_atom_site_fract_x
_atom_site_fract_y
_atom_site_fract_z
Li1 0.000 0.000 0.000
Cu1 0.250 0.250 0.750
Br1 0.000 0.000 0.500
Br2 0.250 0.250 0.250
```

Output
Its calculated volume is 22.29 Å³ per atom. The value obtained for the density of states at the Fermi level is 1.49 states/eV/f.u. Its magnetization is 0.00 μB per cell. As for the raw total energy: -2.356 eV/atom.

Entry 5:
First-principles (PBE) data for LiCuBr2 after structural relaxation, as listed in Alexandria via LeMat-Bulk.

```
data_LiCuBr2
_chemical_formula_sum 'Li1 Cu1 Br2'
_symmetry_space_group_name_H-M 'P 4/m m m'
_symmetry_Int_Tables_number 123
_symmetry_space_group_name_Hall '-P 4 2'
_cell_length_a 4.868
_cell_length_b 4.868
_cell_length_c 3.427
_cell_angle_alpha 90.00
_cell_angle_beta 90.00
_cell_angle_gamma 90.00
loop_
_atom_site_label
_atom_site_fract_x
_atom_site_fract_y
_atom_site_fract_z
Li1 0.000 0.000 0.000
Cu1 0.500 0.500 0.000
Br1 0.000 0.500 0.500
```

Output
Its calculated volume is 20.30 Å³ per atom. The value obtained for the density of states at the Fermi level is 1.36 states/eV/f.u. Its magnetization is 0.00 μB per cell. As for the raw total energy: -2.823 eV/atom.

Entry 6:
First-principles (PBE) data for LiCu2Br after structural relaxation, as listed in Alexandria via LeMat-Bulk.

```
data_LiCu2Br
_chemical_formula_sum 'Li3 Cu6 Br3'
_symmetry_space_group_name_H-M 'R -3 m'
_symmetry_Int_Tables_number 166
_symmetry_space_group_name_Hall '-R 3 2"'
_cell_length_a 3.3155
_cell_length_b 3.3155
_cell_length_c 22.5828
_cell_angle_alpha 90.00
_cell_angle_beta 90.00
_cell_angle_gamma 120.00
loop_
_atom_site_label
_atom_site_fract_x
_atom_site_fract_y
_atom_site_fract_z
Li1 0.0000 0.0000 0.0000
Cu1 0.0000 0.0000 0.2495
Br1 0.0000 0.0000 0.5000
```

Output
Its calculated volume is 17.92 Å³ per atom. The value obtained for the density of states at the Fermi level is 1.55 states/eV/f.u. Its magnetization is 0.00 μB per cell. As for the raw total energy: -2.626 eV/atom.

Entry 7:
First-principles (PBE) data for Li2CuBr6 after structural relaxation, as listed in Alexandria via LeMat-Bulk.

```
data_Li2CuBr6
_chemical_formula_sum 'Li4 Cu2 Br12'
_symmetry_space_group_name_H-M 'P 1 21/c 1'
_symmetry_Int_Tables_number 14
_symmetry_space_group_name_Hall '-P 2ybc'
_cell_length_a 8.265
_cell_length_b 6.643
_cell_length_c 11.936
_cell_angle_alpha 90.00
_cell_angle_beta 130.58
_cell_angle_gamma 90.00
loop_
_atom_site_label
_atom_site_fract_x
_atom_site_fract_y
_atom_site_fract_z
Li1 0.079 0.064 0.174
Cu1 0.500 0.000 0.000
Br1 0.162 0.238 0.024
Br2 0.181 0.677 0.282
Br3 0.481 0.224 0.370
```

Output
Its calculated volume is 27.65 Å³ per atom. The value obtained for the density of states at the Fermi level is 4.54 states/eV/f.u. Its magnetization is 0.00 μB per cell. As for the raw total energy: -2.656 eV/atom.

Entry 8:
First-principles (PBE) data for LiCuBr2 after structural relaxation, as listed in Alexandria via LeMat-Bulk.

```
data_LiCuBr2
_chemical_formula_sum 'Li4 Cu4 Br8'
_symmetry_space_group_name_H-M 'F m -3 m'
_symmetry_Int_Tables_number 225
_symmetry_space_group_name_Hall '-F 4 2 3'
_cell_length_a 6.874
_cell_length_b 6.874
_cell_length_c 6.874
_cell_angle_alpha 90.00
_cell_angle_beta 90.00
_cell_angle_gamma 90.00
loop_
_atom_site_label
_atom_site_fract_x
_atom_site_fract_y
_atom_site_fract_z
Li1 0.000 0.000 0.000
Cu1 0.000 0.000 0.500
Br1 0.250 0.250 0.250
```

Output
Its calculated volume is 20.30 Å³ per atom. The value obtained for the density of states at the Fermi level is 0.00 states/eV/f.u. Its magnetization is 0.00 μB per cell. As for the raw total energy: -2.817 eV/atom.

Entry 9:
First-principles (PBE) data for LiCu5Br12 after structural relaxation, as listed in Alexandria via LeMat-Bulk.

```
data_LiCu5Br12
_chemical_formula_sum 'Li2 Cu10 Br24'
_symmetry_space_group_name_H-M 'C 1 2/m 1'
_symmetry_Int_Tables_number 12
_symmetry_space_group_name_Hall '-C 2y'
_cell_length_a 7.849
_cell_length_b 10.491
_cell_length_c 13.448
_cell_angle_alpha 90.00
_cell_angle_beta 91.70
_cell_angle_gamma 90.00
loop_
_atom_site_label
_atom_site_fract_x
_atom_site_fract_y
_atom_site_fract_z
Li1 0.000 0.000 0.000
Cu1 0.000 0.167 0.500
Cu2 0.000 0.330 0.000
Cu3 0.000 0.500 0.500
Br1 0.089 0.000 0.389
Br2 0.092 0.334 0.389
Br3 0.106 0.500 0.105
Br4 0.112 0.179 0.114
```

Output
Its calculated volume is 30.75 Å³ per atom. The value obtained for the density of states at the Fermi level is 11.32 states/eV/f.u. Its magnetization is 5.56 μB per cell. As for the raw total energy: -2.754 eV/atom.

Entry 10:
First-principles (PBE) data for Li2CuBr after structural relaxation, as listed in Alexandria via LeMat-Bulk.

```
data_Li2CuBr
_chemical_formula_sum 'Li2 Cu1 Br1'
_symmetry_space_group_name_H-M 'P 1 2/m 1'
_symmetry_Int_Tables_number 10
_symmetry_space_group_name_Hall '-P 2y'
_cell_length_a 3.348
_cell_length_b 3.294
_cell_length_c 6.309
_cell_angle_alpha 90.00
_cell_angle_beta 90.29
_cell_angle_gamma 90.00
loop_
_atom_site_label
_atom_site_fract_x
_atom_site_fract_y
_atom_site_fract_z
Li1 0.002 0.000 0.244
Cu1 0.500 0.500 0.000
Br1 0.500 0.500 0.500
```

Output
Its calculated volume is 17.40 Å³ per atom. The value obtained for the density of states at the Fermi level is 0.46 states/eV/f.u. Its magnetization is 0.00 μB per cell. As for the raw total energy: -2.866 eV/atom.

Entry 11:
First-principles (PBE) data for LiCu2Br after structural relaxation, as listed in Alexandria via LeMat-Bulk.

```
data_LiCu2Br
_chemical_formula_sum 'Li4 Cu8 Br4'
_symmetry_space_group_name_H-M 'F -4 3 m'
_symmetry_Int_Tables_number 216
_symmetry_space_group_name_Hall 'F -4 2 3'
_cell_length_a 6.421
_cell_length_b 6.421
_cell_length_c 6.421
_cell_angle_alpha 90.00
_cell_angle_beta 90.00
_cell_angle_gamma 90.00
loop_
_atom_site_label
_atom_site_fract_x
_atom_site_fract_y
_atom_site_fract_z
Li1 0.000 0.000 0.000
Cu1 0.000 0.000 0.500
Cu2 0.250 0.250 0.750
Br1 0.250 0.250 0.250
```

Output
Its calculated volume is 16.55 Å³ per atom. The value obtained for the density of states at the Fermi level is 0.48 states/eV/f.u. Its magnetization is 0.00 μB per cell. As for the raw total energy: -2.800 eV/atom.

Entry 12:
First-principles (PBE) data for LiCuBr2 after structural relaxation, as listed in Alexandria via LeMat-Bulk.

```
data_LiCuBr2
_chemical_formula_sum 'Li2 Cu2 Br4'
_symmetry_space_group_name_H-M 'C 1 m 1'
_symmetry_Int_Tables_number 8
_symmetry_space_group_name_Hall 'C -2y'
_cell_length_a 13.157
_cell_length_b 4.163
_cell_length_c 4.163
_cell_angle_alpha 90.00
_cell_angle_beta 90.23
_cell_angle_gamma 90.00
loop_
_atom_site_label
_atom_site_fract_x
_atom_site_fract_y
_atom_site_fract_z
Li1 0.000 0.000 0.000
Cu1 0.001 0.500 0.500
Br1 0.107 0.000 0.502
Br2 0.393 0.000 0.999
```

Output
Its calculated volume is 28.50 Å³ per atom. The value obtained for the density of states at the Fermi level is 0.00 states/eV/f.u. Its magnetization is 0.00 μB per cell. As for the raw total energy: -3.203 eV/atom.

Results for energy relative to the elements, uncorrected: -1155; 757; -833; -17; -484; 319; -660; -478; -394; -467; 145; -864 (in meV per atom, following the order of the records).